Compound: Cs3CeDy2Se6
Source: Alexandria
Functional: GGA-PBE
Structure: relaxed

abc: 7.497 12.988 8.736
angles: 90.00 106.61 90.00
Space group C2/m (No. 12)
Unique sites:
Cs 0.000 0.000 0.000 [2 per cell]
Cs 0.000 0.334 0.000 [4 per cell]
Ce 0.000 0.500 0.500 [2 per cell]
Dy 0.000 0.167 0.500 [4 per cell]
Se 0.220 0.000 0.686 [4 per cell]
Se 0.233 0.329 0.686 [8 per cell]

Its formation energy (no corrections) is -1.70 eV per atom.